No. 1
Nd3Ga9Pd2 | PBE-GGA | relaxed

```
data_Nd3Ga9Pd2
_chemical_formula_sum 'Nd6 Ga18 Pd4'
_cell_length_a 4.3146
_cell_length_b 9.9925
_cell_length_c 12.6737
_cell_angle_alpha 90.00
_cell_angle_beta 90.00
_cell_angle_gamma 90.00
_space_group_name_H-M_alt 'I m m m'
_space_group_IT_number 71
_space_group_name_Hall '-I 2 2'
loop_
_atom_site_label
_atom_site_fract_x
_atom_site_fract_y
_atom_site_fract_z
Nd1 0.0000 0.0000 0.0000
Nd2 0.0000 0.0000 0.3183
Ga1 0.0000 0.2755 0.1306
Ga2 0.0000 0.3708 0.3337
Ga3 0.0000 0.5000 0.0000
Pd1 0.0000 0.2221 0.5000
```


No. 2
Nd7Ga2Pd2 | PBE-GGA | relaxed

```
data_Nd7Ga2Pd2
_chemical_formula_sum 'Nd14 Ga4 Pd4'
_cell_length_a 8.0919
_cell_length_b 11.2352
_cell_length_c 7.2209
_cell_angle_alpha 90.00
_cell_angle_beta 90.00
_cell_angle_gamma 90.00
_space_group_name_H-M_alt 'C m m m'
_space_group_IT_number 65
_space_group_name_Hall '-C 2 2'
loop_
_atom_site_label
_atom_site_fract_x
_atom_site_fract_y
_atom_site_fract_z
Nd1 0.0000 0.0000 0.0000
Nd2 0.0000 0.5000 0.2639
Nd3 0.2500 0.2500 0.2690
Ga1 0.1608 0.0000 0.5000
Pd1 0.0000 0.2924 0.0000
```


The records above give, respectively, E_form values of -0.67 -0.32 eV per atom.